The following is a DFT calculation (PBE with a Hubbard U) of crystalline La2CrO5 at its relaxed geometry.

Cell lengths 10.9639, 4.0123, 11.2321 Å; angles 90.00, 90.00, 90.00 degrees
With the nearest neighbours (Å) after each atom.
Fractional positions:
La (0.0911, 0.2500, 0.2161)  7 O 2.35-2.58
La (0.1383, 0.2500, 0.5581)  7 O 2.42-2.54
La (0.3617, 0.7500, 0.0581)  7 O 2.42-2.54
La (0.4089, 0.7500, 0.7161)  7 O 2.35-2.58
La (0.5911, 0.2500, 0.2839)  7 O 2.35-2.58
La (0.6383, 0.2500, 0.9419)  7 O 2.42-2.54
La (0.8617, 0.7500, 0.4419)  7 O 2.42-2.54
La (0.9089, 0.7500, 0.7839)  7 O 2.35-2.58
Cr (0.1965, 0.2500, 0.8693)  3 O 1.77-1.84
Cr (0.3035, 0.7500, 0.3693)  3 O 1.77-1.84
Cr (0.6965, 0.2500, 0.6307)  3 O 1.77-1.84
Cr (0.8035, 0.7500, 0.1307)  3 O 1.77-1.84
O (0.0110, 0.7500, 0.6002)  4 La 2.35-2.49
O (0.0421, 0.2500, 0.8246)  1 Cr 1.77
O (0.2123, 0.7500, 0.2316)  1 Cr 1.84
O (0.2263, 0.2500, 0.0300)  1 Cr 1.83
O (0.2367, 0.7500, 0.8727)  2 Cr 2.05
O (0.2633, 0.2500, 0.3727)  2 Cr 2.05
O (0.2737, 0.7500, 0.5300)  1 Cr 1.83
O (0.2877, 0.2500, 0.7316)  1 Cr 1.84
O (0.4579, 0.7500, 0.3246)  1 Cr 1.77
O (0.4890, 0.2500, 0.1002)  4 La 2.35-2.49
O (0.5110, 0.7500, 0.8998)  4 La 2.35-2.49
O (0.5421, 0.2500, 0.6754)  1 Cr 1.77
O (0.7123, 0.7500, 0.2684)  1 Cr 1.84
O (0.7263, 0.2500, 0.4700)  1 Cr 1.83
O (0.7367, 0.7500, 0.6273)  2 Cr 2.05
O (0.7633, 0.2500, 0.1273)  2 Cr 2.05
O (0.7737, 0.7500, 0.9700)  1 Cr 1.83
O (0.7877, 0.2500, 0.7684)  1 Cr 1.84
O (0.9579, 0.7500, 0.1754)  1 Cr 1.77
O (0.9890, 0.2500, 0.3998)  4 La 2.35-2.49

## Properties
E_tot	-256.84	eV for the cell shown